Record 1
Computed, not measured: a geometry-optimized NaOsPb2 structure at the PBE level of DFT.

Summary:
Energy of formation from the pure elements (kJ per mole of atoms): 76.9
Magnetization (μB/f.u.): 0.0
Crystal system: tetragonal
Energy relative to the lowest polymorph listed for this composition (meV per atom): 279
DFT total energy (eV/cell): -33.55

The structure in POSCAR format:
```
NaOsPb2
1.0
-2.397 5.438 1.529
0.942 -1.252 5.933
6.517 5.412 3.281
Pb Os Na
4 2 2
Direct
0.875 0.016 0.750
0.375 0.234 0.750
0.766 0.125 0.250
0.984 0.625 0.250
0.750 0.250 0.500
0.000 0.000 0.000
0.250 0.750 0.500
0.500 0.500 0.000
```

***

Record 2
Computed, not measured: a geometry-optimized NaOs3Pb structure at the PBE level of DFT.

Summary:
Energy of formation from the pure elements (kJ per mole of atoms): 271.6
Magnetization (μB/f.u.): 4.9
Crystal system: cubic
Energy relative to the lowest polymorph listed for this composition (meV per atom): 0
DFT total energy (eV/cell): -24.64

The structure in POSCAR format:
```
NaOs3Pb
1.0
-3.514 -0.636 -3.600
3.247 -2.836 -2.669
-1.679 -4.155 2.373
Os Pb Na
3 1 1
Direct
0.500 0.000 0.000
0.000 0.500 0.000
0.000 0.000 0.500
0.000 0.000 0.000
0.500 0.500 0.500
```

***

Record 3
Computed, not measured: a geometry-optimized Na3OsPb structure at the PBE level of DFT.

Summary:
Energy of formation from the pure elements (kJ per mole of atoms): 120.5
Magnetization (μB/f.u.): 1.9
Crystal system: cubic
Energy relative to the lowest polymorph listed for this composition (meV per atom): 0
DFT total energy (eV/cell): -12.65

The structure in POSCAR format:
```
Na3OsPb
1.0
-0.960 -5.368 0.173
3.324 -0.732 -4.264
4.218 -0.645 3.400
Na Pb Os
3 1 1
Direct
0.000 0.500 0.000
0.000 0.000 0.500
0.500 0.000 0.000
0.500 0.500 0.500
0.000 0.000 0.000
```